# 1
An optimized crystal structure of ZrZn3S. Source: Alexandria, functional PBE.

Lattice parameters (Å, degrees): 4.626 4.626 4.626 90.00 90.00 90.00
Space group Pm-3m (No. 221)
Unique sites:
Zr1 0.000 0.000 0.000
Zn1 0.000 0.500 0.500
S1 0.500 0.500 0.500

formation energy from raw total energies = 0.53 eV/atom
DFT total energy = -2.774 eV/atom
magnetic moment = 0.000 μB per atom
energy relative to the lowest polymorph listed for this composition = 0.000 eV per atom
mass density = 5.4 g/cm3


# 2
An optimized crystal structure of Zr3Zn5S12. Source: Alexandria, functional PBE.

Lattice parameters (Å, degrees): 14.685 14.685 14.685 90.00 90.00 90.00
Space group Ia-3d (No. 230)
Unique sites:
Zr1 0.000 0.250 0.125
Zn1 0.000 0.000 0.000
Zn2 0.000 0.250 0.375
S1 0.022 0.067 0.654

formation energy from raw total energies = -0.82 eV/atom
DFT total energy = -4.895 eV/atom
magnetic moment = 0.000 μB per atom
mass density = 4.1 g/cm3


# 3
An optimized crystal structure of ZrZnS3. Source: Alexandria, functional PBE.

Lattice parameters (Å, degrees): 4.984 4.984 4.984 90.00 90.00 90.00
Space group Pm-3m (No. 221)
Unique sites:
Zr1 0.000 0.000 0.000
Zn1 0.500 0.500 0.500
S1 0.000 0.000 0.500

formation energy from raw total energies = -0.38 eV/atom
DFT total energy = -4.822 eV/atom
magnetic moment = 0.000 μB per atom
energy relative to the lowest polymorph listed for this composition = 0.658 eV per atom
mass density = 3.4 g/cm3


# 4
An optimized crystal structure of Zr2ZnS4. Source: Alexandria, functional PBE.

Lattice parameters (Å, degrees): 7.451 7.468 10.545 90.00 90.00 90.00
Space group Imma (No. 74)
Unique sites:
Zr1 0.000 0.000 0.000
Zr2 0.250 0.250 0.250
Zn1 0.000 0.250 0.625
S1 0.000 0.005 0.248
S2 0.245 0.250 0.002

formation energy from raw total energies = -1.32 eV/atom
DFT total energy = -6.308 eV/atom
magnetic moment = 0.000 μB per atom
mass density = 4.3 g/cm3